(1)
Below is BaGa2Pb2 after structural relaxation, with properties calculated at the GGA-PBEsol level.

```
5
Lattice="5.109 0.000 0.000 0.000 5.109 0.000 -2.554 -2.554 5.345" Properties=species:S:1:pos:R:3 pbc="T T T"
Pb 0.000 2.554 2.672
Pb 2.554 0.000 2.672
Ba 0.000 0.000 0.000
Ga 0.000 0.000 4.095
Ga 2.554 2.554 1.250
```

(2)
Below is FeReTc2Rh after structural relaxation, with properties calculated at the GGA-PBEsol level.

```
5
Lattice="-3.331 -0.619 2.743 -0.303 -4.336 -1.347 2.920 -1.219 3.270" Properties=species:S:1:pos:R:3 pbc="T T T"
Re 0.000 0.000 0.000
Rh -0.357 -3.087 2.333
Tc 1.460 -0.610 1.635
Tc -0.151 -2.168 -0.673
Fe -1.665 -0.310 1.372
```

| no. | energy of formation from the pure elements (meV/atom) |
| --- | --- |
| 1 | -328 |
| 2 | 1902 |